[1]
VASP calculation (PBE+U) on crystalline TaMn2O3 at its relaxed geometry.

The structure belongs to space group P6/mmm (No. 191); the cell edges are 5.1187, 5.1187 and 3.0617 Å and the angles 90.00°, 90.00° and 120.00°. The asymmetric unit holds Ta at (0.0000, 0.0000, 0.0000), Mn at (0.3333, 0.6667, 0.5000) and O at (0.0000, 0.5000, 0.0000).

As for the calculated density: 8.10 g/cm³. The total energy is -47.495 eV/cell.

---

[2]
VASP calculation (PBE+U) on crystalline Ta3MnO at its relaxed geometry.

The structure belongs to space group Pm-3m (No. 221); the cell edges are 4.266, 4.266 and 4.266 Å and the angles 90.00°, 90.00° and 90.00°. The asymmetric unit holds Ta at (0.000, 0.000, 0.500), Mn at (0.500, 0.500, 0.500) and O at (0.000, 0.000, 0.000).

As for the calculated density: 13.13 g/cm³. The value obtained for the energy above the most stable polymorph in this dataset is 0.000 eV/atom. The total energy is -49.705 eV/cell.

---

[3]
VASP calculation (PBE+U) on crystalline TaMn6O12 at its relaxed geometry.

The structure belongs to space group R-3 (No. 148, hexagonal axes); the cell edges are 9.2060, 9.2060 and 8.3968 Å and the angles 90.00°, 90.00° and 120.00°. The asymmetric unit holds Ta at (0.0000, 0.0000, 0.0000), Mn at (0.0333, 0.2524, 0.6454), O at (0.0102, 0.2148, 0.3930) and O at (0.0124, 0.1859, 0.8700).

As for the calculated density: 5.68 g/cm³. The total energy is -445.986 eV/cell.

---

[4]
VASP calculation (PBE+U) on crystalline TaMn2O at its relaxed geometry.

The structure belongs to space group I-42d (No. 122); the cell edges are 6.122, 6.122 and 7.394 Å and the angles 90.00°, 90.00° and 90.00°. The asymmetric unit holds Ta at (0.000, 0.000, 0.000), Mn at (0.146, 0.750, 0.625) and O at (0.000, 0.000, 0.500).

As for the calculated density: 7.36 g/cm³. The total energy is -122.534 eV/cell.

---

[5]
VASP calculation (PBE+U) on crystalline TaMnTcO6 at its relaxed geometry.

The structure belongs to space group P-31c (No. 163); the cell edges are 5.1976, 5.1976 and 9.3367 Å and the angles 90.00°, 90.00° and 120.00°. The asymmetric unit holds Ta at (0.3333, 0.6667, 0.2500), Mn at (0.0000, 0.0000, 0.0000), Tc at (0.3333, 0.6667, 0.7500) and O at (0.0017, 0.3542, 0.6348).

As for the calculated density: 6.54 g/cm³. The total energy is -153.923 eV/cell.

---

[6]
VASP calculation (PBE+U) on crystalline TaTiMnO6 at its relaxed geometry.

The structure belongs to space group P4_2nm (No. 102); the cell edges are 4.758, 4.758 and 8.987 Å and the angles 90.00°, 90.00° and 90.00°. The asymmetric unit holds Ta at (0.000, 0.000, 0.000), Ti at (0.000, 0.000, 0.332), Mn at (0.000, 0.000, 0.665), O at (0.186, 0.186, 0.170), O at (0.195, 0.195, 0.499) and O at (0.197, 0.197, 0.834).

As for the calculated density: 6.20 g/cm³. The total energy is -159.535 eV/cell.

---

[7]
VASP calculation (PBE+U) on crystalline TaMn2Tl3O9 at its relaxed geometry.

The structure belongs to space group P-3m1 (No. 164); the cell edges are 5.6090, 5.6090 and 6.9138 Å and the angles 90.00°, 90.00° and 120.00°. The asymmetric unit holds Ta at (0.0000, 0.0000, 0.0000), Mn at (0.3333, 0.6667, 0.6679), Tl at (0.0000, 0.0000, 0.5000), Tl at (0.3333, 0.6667, 0.1978), O at (0.0000, 0.5000, 0.5000) and O at (0.1666, 0.3333, 0.8316).

As for the calculated density: 9.24 g/cm³. The total energy is -97.902 eV/cell.

---

[8]
VASP calculation (PBE+U) on crystalline TaMn2Tl3O6 at its relaxed geometry.

The structure belongs to space group C2/m (No. 12); the cell edges are 5.676, 9.900 and 6.740 Å and the angles 90.00°, 105.47° and 90.00°. The asymmetric unit holds Ta at (0.000, 0.000, 0.000), Mn at (0.000, 0.333, 0.000), Tl at (0.000, 0.169, 0.500), Tl at (0.000, 0.500, 0.500), O at (0.208, 0.150, 0.163) and O at (0.242, 0.000, 0.824).

As for the calculated density: 9.10 g/cm³. The total energy is -164.584 eV/cell.

---

[9]
VASP calculation (PBE+U) on crystalline Ta2MnTl3O9 at its relaxed geometry.

The structure belongs to space group P-3m1 (No. 164); the cell edges are 5.6936, 5.6936 and 6.9809 Å and the angles 90.00°, 90.00° and 120.00°. The asymmetric unit holds Ta at (0.3333, 0.6667, 0.1754), Mn at (0.0000, 0.0000, 0.5000), Tl at (0.0000, 0.0000, 0.0000), Tl at (0.3333, 0.6667, 0.6629), O at (0.0000, 0.5000, 0.0000) and O at (0.1659, 0.3319, 0.3342).

As for the calculated density: 9.95 g/cm³. The total energy is -108.568 eV/cell.

---

[10]
VASP calculation (PBE+U) on crystalline TaMn2Tl2O6 at its relaxed geometry.

The structure belongs to space group C2/m (No. 12); the cell edges are 5.270, 8.942 and 7.533 Å and the angles 90.00°, 102.91° and 90.00°. The asymmetric unit holds Ta at (0.000, 0.000, 0.000), Mn at (0.000, 0.334, 0.000), Tl at (0.000, 0.329, 0.500), O at (0.120, 0.169, 0.862) and O at (0.123, 0.500, 0.860).

As for the calculated density: 7.64 g/cm³. The total energy is -153.813 eV/cell.